No. 1
# Pm5ScPt6

An optimized crystal structure of Pm5ScPt6 (GGA-PBE, Alexandria).

SG	P-1 (2)
energy relative to the elements	-1.16	eV/atom
E_tot	-6.682	eV per atom

Lattice parameters (Å, degrees): 4.5576 7.5768 8.4352 102.79 105.60 90.05
Closest atoms and distances in Å follow each position.
Atoms (fractional coordinates):
Pm1 0.0000 0.0000 0.0000  8 Pt 2.93-3.10
Pm2 0.3269 0.9126 0.6530  5 Pt 2.97-3.05
Pm3 0.3310 0.4158 0.6613  7 Pt 2.97-3.17
Pm4 0.6690 0.5842 0.3387  7 Pt 2.97-3.17
Pm5 0.6731 0.0874 0.3470  5 Pt 2.97-3.05
Sc1 0.0000 0.5000 0.0000  8 Pt 2.83-2.87
Pt1 0.1373 0.3258 0.2754  1 Sc 2.85, 6 Pm 2.93-3.05, 2 Pt 3.16
Pt2 0.1384 0.8126 0.2778  1 Sc 2.87, 6 Pm 2.93-3.05, 2 Pt 3.17
Pt3 0.4996 0.2773 0.9996  2 Sc 2.83-2.84, 4 Pm 3.10-3.17, 4 Pt 3.16-3.17
Pt4 0.5004 0.7227 0.0004  2 Sc 2.83-2.84, 4 Pm 3.10-3.17, 4 Pt 3.16-3.17
Pt5 0.8616 0.1874 0.7222  1 Sc 2.87, 6 Pm 2.93-3.05, 2 Pt 3.17
Pt6 0.8627 0.6742 0.7246  1 Sc 2.85, 6 Pm 2.93-3.05, 2 Pt 3.16

---

No. 2
# NaSb2Rh2

An optimized crystal structure of NaSb2Rh2 (GGA-PBE, Alexandria).

SG	P4/mbm (127)
offset from the most stable computed form	0.105	eV per atom
E_tot	-5.162	eV per atom

Lattice parameters (Å, degrees): 7.8251 7.8251 3.1868 90.00 90.00 90.00
Closest atoms and distances in Å follow each position.
Atoms (fractional coordinates):
Na1 0.0000 0.0000 0.0000  4 Rh 3.06, 2 Na 3.19, 8 Sb 3.35
Na2 0.5000 0.5000 0.0000  4 Rh 3.06, 2 Na 3.19, 8 Sb 3.35
Sb1 0.1571 0.3429 0.5000  6 Rh 2.78-2.82
Sb2 0.3429 0.8429 0.5000  6 Rh 2.78-2.82
Sb3 0.6571 0.1571 0.5000  6 Rh 2.78-2.82
Sb4 0.8429 0.6571 0.5000  6 Rh 2.78-2.82
Rh1 0.1328 0.6328 0.0000  6 Sb 2.78-2.82, 1 Rh 2.94, 2 Na 3.06
Rh2 0.3672 0.1328 0.0000  6 Sb 2.78-2.82, 1 Rh 2.94, 2 Na 3.06
Rh3 0.6328 0.8672 0.0000  6 Sb 2.78-2.82, 1 Rh 2.94, 2 Na 3.06
Rh4 0.8672 0.3672 0.0000  6 Sb 2.78-2.82, 1 Rh 2.94, 2 Na 3.06

---

No. 3
# VCoCl2

An optimized crystal structure of VCoCl2 (GGA-PBE, Alexandria).

SG	R-3m (166)
offset from the most stable computed form	0.000	eV per atom
E_tot	-5.042	eV per atom

Lattice parameters (Å, degrees): 7.8084 7.8084 7.8084 22.65 22.65 22.65
Closest atoms and distances in Å follow each position.
Atoms (fractional coordinates):
V1 0.0000 0.0000 0.0000  6 Cl 2.40
Co1 0.5000 0.5000 0.5000  2 Cl 2.18
Cl1 0.4046 0.4046 0.4046  1 Co 2.18, 3 V 2.40
Cl2 0.5954 0.5954 0.5954  1 Co 2.18, 3 V 2.40

---

No. 4
# BaPtRh

An optimized crystal structure of BaPtRh (GGA-PBE, Alexandria).

SG	P-6m2 (187)
energy relative to the elements	-0.32	eV/atom
offset from the most stable computed form	0.139	eV per atom
E_tot	-5.422	eV per atom

Lattice parameters (Å, degrees): 4.3929 4.3929 4.7440 90.00 90.00 120.00
Closest atoms and distances in Å follow each position.
Atoms (fractional coordinates):
Ba1 0.0000 0.0000 0.0000  6 Rh 3.47, 6 Pt 3.47
Pt1 0.6667 0.3333 0.5000  3 Rh 2.54
Rh1 0.3333 0.6667 0.5000  3 Pt 2.54